# 1
Computed, not measured: NaB3C3 after structural relaxation at the GGA-PBE level of DFT.

a = 4.733 Å, b = 4.733 Å, c = 4.733 Å
α = 90.00°, β = 90.00°, γ = 90.00°
Fractional coordinates of all 14 atoms:
Na (0.500, 0.500, 0.500)
Na (0.000, 0.000, 0.000)
C (0.000, 0.250, 0.500)
C (0.000, 0.750, 0.500)
C (0.500, 0.000, 0.750)
C (0.750, 0.500, 0.000)
C (0.500, 0.000, 0.250)
C (0.250, 0.500, 0.000)
B (0.250, 0.000, 0.500)
B (0.000, 0.500, 0.250)
B (0.500, 0.750, 0.000)
B (0.750, 0.000, 0.500)
B (0.000, 0.500, 0.750)
B (0.500, 0.250, 0.000)

Output
V = 106.0 Å³/cell
SG = Pm-3n
energy of formation = 0.353 eV per atom
M_tot = 0.00 μB per formula unit


# 2
Computed, not measured: Na2B3C after structural relaxation at the GGA-PBE level of DFT.

a = 9.119 Å, b = 9.119 Å, c = 13.559 Å
α = 112.60°, β = 112.60°, γ = 17.77°
Fractional coordinates of all 30 atoms:
Na (0.000, 0.000, 0.001)
Na (0.200, 0.200, 0.898)
Na (0.200, 0.200, 0.401)
Na (0.401, 0.401, 0.303)
Na (0.400, 0.400, 0.796)
Na (0.598, 0.598, 0.696)
Na (0.599, 0.599, 0.205)
Na (0.802, 0.802, 0.103)
Na (0.801, 0.801, 0.596)
Na (0.999, 0.999, 0.499)
B (0.634, 0.634, 0.019)
B (0.765, 0.765, 0.777)
B (0.828, 0.828, 0.904)
B (0.570, 0.570, 0.890)
B (0.973, 0.973, 0.200)
B (0.040, 0.040, 0.332)
B (0.769, 0.769, 0.291)
B (0.027, 0.027, 0.802)
B (0.224, 0.224, 0.695)
B (0.959, 0.959, 0.666)
B (0.370, 0.370, 0.990)
B (0.433, 0.433, 0.119)
B (0.177, 0.177, 0.108)
B (0.633, 0.633, 0.515)
B (0.364, 0.364, 0.478)
C (0.832, 0.832, 0.415)
C (0.164, 0.164, 0.576)
C (0.237, 0.237, 0.227)
C (0.428, 0.428, 0.603)
C (0.571, 0.571, 0.393)

Output
V = 317.0 Å³/cell
SG = Cm
energy of formation = 0.149 eV per atom
M_tot = 0.00 μB per formula unit


# 3
Computed, not measured: Na2B3C after structural relaxation at the GGA-PBE level of DFT.

a = 7.719 Å, b = 7.711 Å, c = 8.609 Å
α = 90.00°, β = 90.00°, γ = 141.77°
Fractional coordinates of all 30 atoms:
Na (0.199, 0.799, 0.003)
Na (0.199, 0.799, 0.497)
Na (0.400, 0.600, 0.003)
Na (0.400, 0.600, 0.497)
Na (0.998, 0.999, 0.001)
Na (0.998, 0.999, 0.499)
Na (0.598, 0.398, 0.001)
Na (0.598, 0.398, 0.499)
Na (0.801, 0.201, 0.003)
Na (0.801, 0.201, 0.497)
B (0.463, 0.861, 0.250)
B (0.122, 0.521, 0.250)
B (0.467, 0.855, 0.750)
B (0.330, 0.332, 0.750)
B (0.339, 0.348, 0.250)
B (0.670, 0.687, 0.750)
B (0.919, 0.720, 0.750)
B (0.261, 0.063, 0.250)
B (0.920, 0.722, 0.250)
B (0.270, 0.069, 0.750)
B (0.534, 0.132, 0.750)
B (0.553, 0.154, 0.250)
B (0.890, 0.472, 0.750)
B (0.748, 0.939, 0.250)
B (0.054, 0.265, 0.750)
C (0.142, 0.537, 0.750)
C (0.665, 0.665, 0.250)
C (0.862, 0.462, 0.250)
C (0.737, 0.941, 0.750)
C (0.065, 0.265, 0.250)

Output
V = 317.1 Å³/cell
SG = Pm
energy of formation = 0.179 eV per atom
M_tot = 0.00 μB per formula unit


# 4
Computed, not measured: Na2B3C after structural relaxation at the GGA-PBE level of DFT.

a = 7.479 Å, b = 7.479 Å, c = 10.306 Å
α = 120.58°, β = 120.59°, γ = 40.91°
Fractional coordinates of all 30 atoms:
Na (0.999, 0.998, 0.996)
Na (0.802, 0.801, 0.504)
Na (0.201, 0.202, 0.003)
Na (0.995, 0.004, 0.499)
Na (0.398, 0.397, 0.995)
Na (0.202, 0.201, 0.504)
Na (0.602, 0.596, 0.000)
Na (0.403, 0.397, 0.501)
Na (0.799, 0.800, 0.998)
Na (0.604, 0.598, 0.501)
B (0.252, 0.560, 0.750)
B (0.953, 0.654, 0.250)
B (0.046, 0.347, 0.250)
B (0.138, 0.873, 0.750)
B (0.452, 0.748, 0.751)
B (0.145, 0.848, 0.250)
B (0.269, 0.533, 0.250)
B (0.328, 0.062, 0.750)
B (0.640, 0.949, 0.750)
B (0.453, 0.753, 0.250)
B (0.575, 0.232, 0.750)
B (0.619, 0.980, 0.250)
B (0.780, 0.420, 0.750)
B (0.820, 0.182, 0.250)
B (0.968, 0.624, 0.749)
C (0.359, 0.037, 0.250)
C (0.839, 0.165, 0.750)
C (0.561, 0.240, 0.251)
C (0.035, 0.360, 0.749)
C (0.763, 0.441, 0.250)

Output
V = 317.0 Å³/cell
SG = P1
energy of formation = 0.170 eV per atom
M_tot = 0.00 μB per formula unit


# 5
Computed, not measured: Na2B3C after structural relaxation at the GGA-PBE level of DFT.

a = 2.783 Å, b = 8.663 Å, c = 10.518 Å
α = 90.00°, β = 90.00°, γ = 90.00°
Fractional coordinates of all 24 atoms:
Na (0.000, 0.999, 0.998)
Na (0.000, 0.501, 0.998)
Na (0.500, 0.998, 0.248)
Na (0.500, 0.502, 0.248)
Na (0.000, 0.002, 0.502)
Na (0.000, 0.498, 0.502)
Na (0.500, 0.001, 0.752)
Na (0.500, 0.499, 0.752)
C (0.000, 0.250, 0.159)
C (0.500, 0.750, 0.591)
C (0.000, 0.750, 0.822)
C (0.500, 0.250, 0.928)
B (0.500, 0.750, 0.065)
B (0.500, 0.250, 0.081)
B (0.000, 0.750, 0.174)
B (0.000, 0.750, 0.336)
B (0.500, 0.250, 0.414)
B (0.000, 0.250, 0.307)
B (0.500, 0.750, 0.443)
B (0.000, 0.250, 0.685)
B (0.500, 0.250, 0.576)
B (0.000, 0.750, 0.669)
B (0.000, 0.250, 0.851)
B (0.500, 0.750, 0.899)

Output
V = 253.6 Å³/cell
SG = Pmmn
energy of formation = 0.139 eV per atom
M_tot = 0.00 μB per formula unit


# 6
Computed, not measured: Na2B3C after structural relaxation at the GGA-PBE level of DFT.

a = 2.788 Å, b = 5.254 Å, c = 8.647 Å
α = 90.00°, β = 90.00°, γ = 90.00°
Fractional coordinates of all 12 atoms:
Na (0.000, 0.000, 0.000)
Na (0.000, 0.000, 0.500)
Na (0.500, 0.500, 0.000)
Na (0.500, 0.500, 0.500)
C (0.500, 0.162, 0.750)
C (0.500, 0.838, 0.250)
B (0.000, 0.350, 0.250)
B (0.500, 0.136, 0.250)
B (0.000, 0.319, 0.750)
B (0.000, 0.650, 0.750)
B (0.000, 0.681, 0.250)
B (0.500, 0.864, 0.750)

Output
V = 126.7 Å³/cell
SG = Pmma
energy of formation = 0.133 eV per atom
M_tot = 0.00 μB per formula unit